No. 1
Ga12Sb3As5: relaxed, GGA-PBE.

Summary:
The crystal system is cubic. The uncorrected formation energy is 0.042 eV per atom.

Unit cell a=13.8399 b=13.8399 c=13.8399 alpha=109.47 beta=109.47 gamma=109.47
With the nearest neighbours (Å) after each atom.
Positions (direct):
Ga  0.0492  0.2196  0.1372  2 As 2.54-2.69
Ga  0.0492  0.3297  0.9120  2 As 2.54-2.69
Ga  0.0824  0.7196  0.6703  2 As 2.54-2.69
Ga  0.0824  0.8628  0.4120  2 As 2.54-2.69
Ga  0.0880  0.6372  0.4176  2 As 2.54-2.69
Ga  0.0880  0.9508  0.6703  2 As 2.54-2.69
Ga  0.1372  0.0492  0.2196  2 As 2.54-2.69
Ga  0.1372  0.5880  0.9176  2 As 2.54-2.69
Ga  0.1703  0.2196  0.5824  2 As 2.54-2.69
Ga  0.1703  0.4508  0.5880  2 As 2.54-2.69
Ga  0.2196  0.1372  0.0492  2 As 2.54-2.69
Ga  0.2196  0.5824  0.1703  2 As 2.54-2.69
Ga  0.2804  0.3297  0.9176  2 As 2.54-2.69
Ga  0.2804  0.4508  0.3628  2 As 2.54-2.69
Ga  0.3297  0.9120  0.0492  2 As 2.54-2.69
Ga  0.3297  0.9176  0.2804  2 As 2.54-2.69
Ga  0.3628  0.2804  0.4508  2 As 2.54-2.69
Ga  0.3628  0.5824  0.9120  2 As 2.54-2.69
Ga  0.4120  0.0824  0.8628  2 As 2.54-2.69
Ga  0.4120  0.8297  0.5492  2 As 2.54-2.69
Ga  0.4176  0.0880  0.6372  2 As 2.54-2.69
Ga  0.4176  0.8297  0.7804  2 As 2.54-2.69
Ga  0.4508  0.3628  0.2804  2 As 2.54-2.69
Ga  0.4508  0.5880  0.1703  2 As 2.54-2.69
Ga  0.5492  0.4120  0.8297  2 As 2.54-2.69
Ga  0.5492  0.6372  0.7196  2 As 2.54-2.69
Ga  0.5824  0.1703  0.2196  2 As 2.54-2.69
Ga  0.5824  0.9120  0.3628  2 As 2.54-2.69
Ga  0.5880  0.1703  0.4508  2 As 2.54-2.69
Ga  0.5880  0.9176  0.1372  2 As 2.54-2.69
Ga  0.6372  0.4176  0.0880  2 As 2.54-2.69
Ga  0.6372  0.7196  0.5492  2 As 2.54-2.69
Ga  0.6703  0.0824  0.7196  2 As 2.54-2.69
Ga  0.6703  0.0880  0.9508  2 As 2.54-2.69
Ga  0.7196  0.5492  0.6372  2 As 2.54-2.69
Ga  0.7196  0.6703  0.0824  2 As 2.54-2.69
Ga  0.7804  0.4176  0.8297  2 As 2.54-2.69
Ga  0.7804  0.8628  0.9508  2 As 2.54-2.69
Ga  0.8297  0.5492  0.4120  2 As 2.54-2.69
Ga  0.8297  0.7804  0.4176  2 As 2.54-2.69
Ga  0.8628  0.4120  0.0824  2 As 2.54-2.69
Ga  0.8628  0.9508  0.7804  2 As 2.54-2.69
Ga  0.9120  0.0492  0.3297  2 As 2.54-2.69
Ga  0.9120  0.3628  0.5824  2 As 2.54-2.69
Ga  0.9176  0.1372  0.5880  2 As 2.54-2.69
Ga  0.9176  0.2804  0.3297  2 As 2.54-2.69
Ga  0.9508  0.6703  0.0880  2 As 2.54-2.69
Ga  0.9508  0.7804  0.8628  2 As 2.54-2.69
Sb  0.1250  0.2500  0.3750  8 Ga 2.93-2.99
Sb  0.1250  0.3750  0.7500  8 Ga 2.93-2.99
Sb  0.2500  0.3750  0.1250  8 Ga 2.93-2.99
Sb  0.2500  0.8750  0.6250  8 Ga 2.93-2.99
Sb  0.3750  0.1250  0.2500  8 Ga 2.93-2.99
Sb  0.3750  0.7500  0.1250  8 Ga 2.93-2.99
Sb  0.6250  0.2500  0.8750  8 Ga 2.93-2.99
Sb  0.6250  0.8750  0.7500  8 Ga 2.93-2.99
Sb  0.7500  0.1250  0.3750  8 Ga 2.93-2.99
Sb  0.7500  0.6250  0.8750  8 Ga 2.93-2.99
Sb  0.8750  0.6250  0.2500  8 Ga 2.93-2.99
Sb  0.8750  0.7500  0.6250  8 Ga 2.93-2.99
As  0.0000  0.0000  0.0000  6 Ga 2.69
As  0.0000  0.0000  0.5000  6 Ga 2.69
As  0.0000  0.5000  0.0000  6 Ga 2.69
As  0.0000  0.5000  0.5000  6 Ga 2.69
As  0.1250  0.7500  0.8750  4 Ga 2.54
As  0.1250  0.8750  0.2500  4 Ga 2.54
As  0.2500  0.1250  0.8750  4 Ga 2.54
As  0.2500  0.6250  0.3750  4 Ga 2.54
As  0.3750  0.2500  0.6250  4 Ga 2.54
As  0.3750  0.6250  0.7500  4 Ga 2.54
As  0.5000  0.0000  0.0000  6 Ga 2.69
As  0.5000  0.0000  0.5000  6 Ga 2.69
As  0.5000  0.5000  0.0000  6 Ga 2.69
As  0.5000  0.5000  0.5000  6 Ga 2.69
As  0.6250  0.3750  0.2500  4 Ga 2.54
As  0.6250  0.7500  0.3750  4 Ga 2.54
As  0.7500  0.3750  0.6250  4 Ga 2.54
As  0.7500  0.8750  0.1250  4 Ga 2.54
As  0.8750  0.1250  0.7500  4 Ga 2.54
As  0.8750  0.2500  0.1250  4 Ga 2.54


No. 2
GaSbAsSe2: relaxed, GGA-PBE.

Summary:
The crystal system is tetragonal. The uncorrected formation energy is 0.476 eV per atom. The calculation puts the polymorph energy (0 for the lowest one) at 103 meV/atom.

Unit cell a=5.3986 b=5.3986 c=5.3108 alpha=90.00 beta=90.00 gamma=90.00
With the nearest neighbours (Å) after each atom.
Positions (direct):
Ga  0.0000  0.0000  0.0000  8 Se 3.79, 4 As 3.82
Sb  0.5000  0.5000  0.5000  2 As 2.66, 4 Se 2.70
As  0.5000  0.5000  0.0000  2 Sb 2.66
Se  0.0000  0.5000  0.5000  2 Sb 2.70
Se  0.5000  0.0000  0.5000  2 Sb 2.70


No. 3
Ga4Sb2AsSe: relaxed, GGA-PBE.

Summary:
The crystal system is orthorhombic. The uncorrected formation energy is -0.207 eV per atom.

Unit cell a=7.3665 b=7.3585 c=6.1463 alpha=65.40 beta=65.26 gamma=49.34
With the nearest neighbours (Å) after each atom.
Positions (direct):
Ga  0.0070  0.5222  0.9930  1 As 2.53, 1 Se 2.64, 2 Sb 2.68
Ga  0.2426  0.7574  0.2426  1 As 2.53, 1 Se 2.64, 2 Sb 2.68
Ga  0.5222  0.0070  0.4778  1 As 2.53, 1 Se 2.64, 2 Sb 2.68
Ga  0.7574  0.2426  0.7574  1 As 2.53, 1 Se 2.64, 2 Sb 2.68
Sb  0.1326  0.1326  0.3674  4 Ga 2.68
Sb  0.6326  0.6326  0.8674  4 Ga 2.68
As  0.8828  0.8828  0.1172  4 Ga 2.53
Se  0.3827  0.3827  0.6173  4 Ga 2.64


No. 4
GaSbAsSe2: relaxed, GGA-PBE.

Summary:
The crystal system is tetragonal. The uncorrected formation energy is 0.374 eV per atom. The calculation puts the polymorph energy (0 for the lowest one) at 0 meV/atom.

Unit cell a=4.9534 b=4.9534 c=4.9378 alpha=90.00 beta=90.00 gamma=90.00
With the nearest neighbours (Å) after each atom.
Positions (direct):
Ga  0.0000  0.0000  0.0000  2 As 2.47, 4 Se 2.48
Sb  0.5000  0.5000  0.5000  8 Se 3.50, 4 As 3.50
As  0.0000  0.0000  0.5000  2 Ga 2.47
Se  0.0000  0.5000  0.0000  2 Ga 2.48
Se  0.5000  0.0000  0.0000  2 Ga 2.48


No. 5
GaSn2SbAs: relaxed, GGA-PBE.

Summary:
The crystal system is tetragonal. The uncorrected formation energy is 0.448 eV per atom.

Unit cell a=5.4351 b=5.4351 c=4.7713 alpha=90.00 beta=90.00 gamma=90.00
With the nearest neighbours (Å) after each atom.
Positions (direct):
Ga  0.0000  0.0000  0.0000  2 As 2.39
Sn  0.0000  0.5000  0.0000  2 Ga 2.72
Sn  0.5000  0.0000  0.0000  2 Ga 2.72
Sb  0.5000  0.5000  0.5000  8 Sn 3.62, 4 As 3.84
As  0.0000  0.0000  0.5000  2 Ga 2.39


No. 6
GaSnSb2As: relaxed, GGA-PBE.

Summary:
The crystal system is tetragonal. The uncorrected formation energy is 0.566 eV per atom.

Unit cell a=5.4459 b=5.4459 c=5.4040 alpha=90.00 beta=90.00 gamma=90.00
With the nearest neighbours (Å) after each atom.
Positions (direct):
Ga  0.0000  0.0000  0.0000  8 Sb 3.84, 4 Sn 3.85
Sn  0.5000  0.5000  0.0000  2 As 2.70
Sb  0.0000  0.5000  0.5000  2 As 2.72
Sb  0.5000  0.0000  0.5000  2 As 2.72
As  0.5000  0.5000  0.5000  2 Sn 2.70, 4 Sb 2.72


No. 7
Sr2GaSbAs: relaxed, GGA-PBE.

Summary:
The crystal system is monoclinic. The uncorrected formation energy is -0.799 eV per atom.

Unit cell a=7.4744 b=4.5890 c=9.7400 alpha=90.00 beta=106.76 gamma=90.00
With the nearest neighbours (Å) after each atom.
Positions (direct):
Sr  0.2097  0.2500  0.4028  2 As 3.07
Sr  0.2447  0.2500  0.9879  3 As 3.02-3.17, 1 Ga 3.36
Sr  0.7553  0.7500  0.0121  3 As 3.02-3.17, 1 Ga 3.36
Sr  0.7903  0.7500  0.5972  2 As 3.07
Ga  0.4969  0.7500  0.2424  1 As 2.40
Ga  0.5031  0.2500  0.7576  1 As 2.40
Sb  0.3011  0.7500  0.6979  2 Ga 2.72
Sb  0.6989  0.2500  0.3021  2 Ga 2.72
As  0.1617  0.7500  0.1852  1 Ga 2.40
As  0.8383  0.2500  0.8148  1 Ga 2.40


No. 8
Th4GaSb2As: relaxed, GGA-PBE.

Summary:
The crystal system is monoclinic. The uncorrected formation energy is -0.899 eV per atom.

Unit cell a=7.5559 b=4.3806 c=7.7159 alpha=90.00 beta=109.18 gamma=90.00
With the nearest neighbours (Å) after each atom.
Positions (direct):
Th  0.2420  0.0000  0.2296  2 Ga 3.03, 1 As 3.03, 3 Sb 3.19-3.21
Th  0.2561  0.5000  0.7713  1 Ga 3.02, 2 As 3.03, 3 Sb 3.20-3.21
Th  0.7439  0.5000  0.2287  1 Ga 3.02, 2 As 3.03, 3 Sb 3.20-3.21
Th  0.7580  0.0000  0.7704  2 Ga 3.03, 1 As 3.03, 3 Sb 3.19-3.21
Ga  0.0000  0.5000  0.0000  6 Th 3.02-3.03
Sb  0.0000  0.0000  0.5000  6 Th 3.19-3.20
Sb  0.5000  0.5000  0.5000  6 Th 3.21
As  0.5000  0.0000  0.0000  6 Th 3.03


No. 9
ZrGaSbAs2: relaxed, GGA-PBE.

Summary:
The crystal system is tetragonal. The uncorrected formation energy is 0.524 eV per atom.

Unit cell a=4.7816 b=4.7816 c=5.3790 alpha=90.00 beta=90.00 gamma=90.00
With the nearest neighbours (Å) after each atom.
Positions (direct):
Zr  0.0000  0.0000  0.0000  2 Ga 2.69
Ga  0.0000  0.0000  0.5000  4 As 2.39
Sb  0.5000  0.5000  0.0000  4 Zr 3.38, 8 As 3.60
As  0.0000  0.5000  0.5000  2 Ga 2.39
As  0.5000  0.0000  0.5000  2 Ga 2.39


No. 10
ScGaAs3: relaxed, GGA-PBE.

Summary:
The crystal system is cubic. The energy of formation comes out at 0.182 eV per atom. The calculation puts the polymorph energy (0 for the lowest one) at 0 meV/atom.

Unit cell a=5.1177 b=5.1177 c=5.1177 alpha=90.00 beta=90.00 gamma=90.00
With the nearest neighbours (Å) after each atom.
Positions (direct):
Sc  0.0000  0.0000  0.0000  6 As 2.56
Ga  0.5000  0.5000  0.5000  12 As 3.62
As  0.0000  0.0000  0.5000  2 Sc 2.56
As  0.0000  0.5000  0.0000  2 Sc 2.56
As  0.5000  0.0000  0.0000  2 Sc 2.56